A plane-wave DFT calculation with GGA+U was carried out for a relaxed KWSeO5 crystal.

Unit cell a=6.0455 b=6.0455 c=7.4527 alpha=95.44 beta=95.44 gamma=111.37
With the nearest neighbours (Å) after each atom.
Sites, in units of the cell vectors:
O  0.7207  0.0931  0.4030  1 Se 1.76
O  0.9381  0.0619  0.7500  2 W 1.96
O  0.7844  0.6817  0.4864  1 W 1.88
O  0.2156  0.3183  0.5136  1 W 1.88
O  0.3183  0.2156  0.0136  1 W 1.88
O  0.6817  0.7844  0.9864  1 W 1.88
O  0.9069  0.2793  0.0970  1 Se 1.76
O  0.0619  0.9381  0.2500  2 W 1.96
O  0.2793  0.9069  0.5970  1 Se 1.76
O  0.0931  0.7207  0.9030  1 Se 1.76
W  0.0000  0.0000  0.5000  6 O 1.88-2.06
W  0.0000  0.0000  0.0000  6 O 1.88-2.06
Se  0.7068  0.2932  0.2500  2 O 1.76
Se  0.2932  0.7068  0.7500  2 O 1.76
K  0.3601  0.6399  0.2500  9 O 2.85-3.09
K  0.6399  0.3601  0.7500  9 O 2.85-3.09

Values from the calculation:
electronic total energy	-5.987	eV/atom
calculated density	5.1	g/cm3